Entry from the Alexandria database: NdInO3 after structural relaxation (PBE-GGA).

Results
Space-group type   P2_1/m (11)
Size of the total moment   0.00 Bohr magnetons per cell
Crystal system   monoclinic
Energy   -6.886 eV/atom

```
NdInO3
1.0
4.062 0.000 0.000
0.000 6.003 -1.559
0.000 -0.009 6.583
O Nd In
6 2 2
direct
0.250 0.439 0.353 O
0.250 0.141 0.653 O
0.750 0.188 0.094 O
0.250 0.812 0.906 O
0.750 0.561 0.647 O
0.750 0.859 0.347 O
0.750 0.967 0.751 Nd
0.250 0.033 0.249 Nd
0.250 0.487 0.704 In
0.750 0.513 0.296 In
```